VASP calculation (GGA-PBE) on a geometry-optimized Rb2NpBr4O2 structure.

Unit cell a=12.314 b=7.950 c=6.219 alpha=90.00 beta=97.95 gamma=90.00
Space group C2/m (No. 12)
One atom of each set of equivalent atoms:
Rb  0.157  0.000  0.291
Np  0.000  0.500  0.500
Br  0.105  0.244  0.768
O  0.118  0.500  0.360

Calculated values
E_form (uncorrected), eV per atom: -1.8973
Raw total energy, eV for the cell shown: -97.1
Magnetic moment, μB/f.u.: 1.000